A plane-wave DFT calculation with PBE was carried out for an optimized crystal structure of BaSrCu2O4.

The uncorrected energy is -5.588 eV/atom. For the total magnetization, the calculation gives 0.14 Bohr magnetons per cell.

Unit cell a=3.9848 b=3.9848 c=7.3472 alpha=90.00 beta=90.00 gamma=90.00
With the nearest neighbours (Å) after each atom.
Positions (direct):
Ba (0.0000, 0.0000, 0.5000)  8 O 2.79
Sr (0.0000, 0.0000, 0.0000)  8 O 2.63
Cu (0.5000, 0.5000, 0.2306)  4 O 1.99
Cu (0.5000, 0.5000, 0.7694)  4 O 1.99
O (0.5000, 0.0000, 0.2338)  2 Cu 1.99
O (0.5000, 0.0000, 0.7662)  2 Cu 1.99
O (0.0000, 0.5000, 0.2338)  2 Cu 1.99
O (0.0000, 0.5000, 0.7662)  2 Cu 1.99

A plane-wave DFT calculation with PBE was carried out for an optimized crystal structure of BaSrCuO3.

The uncorrected energy is -5.770 eV/atom. For the total magnetization, the calculation gives 0.00 Bohr magnetons per cell.

Unit cell a=4.0649 b=7.0108 c=7.4304 alpha=105.23 beta=90.00 gamma=106.85
With the nearest neighbours (Å) after each atom.
Positions (direct):
Ba (0.3548, 0.7097, 0.9245)  7 O 2.65-2.85
Ba (0.6452, 0.2903, 0.0755)  7 O 2.65-2.85
Sr (0.6462, 0.2924, 0.5703)  7 O 2.54-2.69
Sr (0.3538, 0.7076, 0.4297)  7 O 2.54-2.69
Cu (0.0009, 0.0018, 0.2685)  4 O 1.95-2.03
Cu (0.9991, 0.9982, 0.7315)  4 O 1.95-2.03
O (0.8501, 0.7003, 0.1901)  1 Cu 1.95
O (0.8472, 0.6943, 0.6602)  1 Cu 1.96
O (0.5002, 0.0004, 0.2685)  2 Cu 2.03
O (0.1528, 0.3057, 0.3398)  1 Cu 1.96
O (0.4998, 0.9996, 0.7315)  2 Cu 2.03
O (0.1499, 0.2997, 0.8099)  1 Cu 1.95

A plane-wave DFT calculation with PBE was carried out for an optimized crystal structure of Ba2SrCuO4.

The uncorrected energy is -5.597 eV/atom. For the total magnetization, the calculation gives 2.05 Bohr magnetons per cell.

Unit cell a=3.7259 b=6.4462 c=12.9627 alpha=90.00 beta=90.00 gamma=106.80
With the nearest neighbours (Å) after each atom.
Positions (direct):
Ba (0.3680, 0.7360, 0.5525)  4 O 2.57-2.73
Ba (0.6320, 0.2640, 0.0525)  4 O 2.57-2.73
Ba (0.6320, 0.2640, 0.4475)  4 O 2.57-2.73
Ba (0.3680, 0.7360, 0.9475)  4 O 2.57-2.73
Sr (0.1001, 0.2002, 0.7500)  6 O 2.73-2.77
Sr (0.8999, 0.7998, 0.2500)  6 O 2.73-2.77
Cu (0.8219, 0.6437, 0.7500)  2 O 1.91
Cu (0.1781, 0.3563, 0.2500)  2 O 1.91
O (0.2844, 0.5688, 0.1426)  1 Cu 1.91
O (0.7156, 0.4312, 0.6426)  1 Cu 1.91
O (0.7156, 0.4312, 0.8574)  1 Cu 1.91
O (0.2844, 0.5688, 0.3574)  1 Cu 1.91
O (0.0000, 0.0000, 0.5000)  4 Ba 2.57
O (0.0000, 0.0000, 0.0000)  4 Ba 2.57
O (0.4341, 0.8682, 0.7500)  2 Cu 2.32
O (0.5659, 0.1318, 0.2500)  2 Cu 2.32

A plane-wave DFT calculation with PBE was carried out for an optimized crystal structure of BaSr2CuO4.

The uncorrected energy is -5.743 eV/atom. For the total magnetization, the calculation gives 2.07 Bohr magnetons per cell.

Unit cell a=3.6330 b=6.3517 c=12.3690 alpha=90.00 beta=90.00 gamma=106.62
With the nearest neighbours (Å) after each atom.
Positions (direct):
Ba (0.1087, 0.2174, 0.7500)  6 O 2.81-2.93
Ba (0.8913, 0.7826, 0.2500)  6 O 2.81-2.93
Sr (0.3696, 0.7391, 0.5480)  6 O 2.48-2.65
Sr (0.6304, 0.2609, 0.0480)  6 O 2.48-2.65
Sr (0.6304, 0.2609, 0.4520)  6 O 2.48-2.65
Sr (0.3696, 0.7391, 0.9520)  6 O 2.48-2.65
Cu (0.8370, 0.6740, 0.7500)  4 O 1.98-2.08
Cu (0.1630, 0.3260, 0.2500)  4 O 1.98-2.08
O (0.2671, 0.5343, 0.1267)  1 Cu 1.98
O (0.7329, 0.4657, 0.6267)  1 Cu 1.98
O (0.7329, 0.4657, 0.8733)  1 Cu 1.98
O (0.2671, 0.5343, 0.3733)  1 Cu 1.98
O (0.0000, 0.0000, 0.5000)  4 Sr 2.48
O (0.0000, 0.0000, 0.0000)  4 Sr 2.48
O (0.4200, 0.8399, 0.7500)  2 Cu 2.08
O (0.5800, 0.1601, 0.2500)  2 Cu 2.08

A plane-wave DFT calculation with PBE was carried out for an optimized crystal structure of BaSr2CuO.

The uncorrected energy is -3.816 eV/atom. For the total magnetization, the calculation gives 0.00 Bohr magnetons per cell.

Unit cell a=5.0131 b=5.0131 c=5.8057 alpha=90.00 beta=90.00 gamma=90.00
With the nearest neighbours (Å) after each atom.
Positions (direct):
O (0.0000, 0.0000, 0.0000)  4 Sr 2.51
Sr (0.0000, 0.5000, 0.0000)  2 O 2.51
Sr (0.5000, 0.0000, 0.0000)  2 O 2.51
Ba (0.0000, 0.0000, 0.5000)  2 O 2.90
Cu (0.5000, 0.5000, 0.5000)  4 Ba 3.54, 8 Sr 3.84

A plane-wave DFT calculation with PBE was carried out for an optimized crystal structure of Ba3SrCu4O12.

The uncorrected energy is -5.422 eV/atom. For the total magnetization, the calculation gives 3.11 Bohr magnetons per cell.

Unit cell a=7.9705 b=7.9705 c=3.9810 alpha=90.00 beta=90.00 gamma=90.00
With the nearest neighbours (Å) after each atom.
Positions (direct):
Ba (0.0000, 0.5000, 0.5000)  12 O 2.80-2.89
Ba (0.0000, 0.0000, 0.5000)  12 O 2.83-2.91
Ba (0.5000, 0.0000, 0.5000)  12 O 2.80-2.89
Sr (0.5000, 0.5000, 0.5000)  12 O 2.72-2.75
Cu (0.7502, 0.2498, 0.0000)  6 O 1.99-2.00
Cu (0.2498, 0.2498, 0.0000)  6 O 1.99-2.00
Cu (0.7502, 0.7502, 0.0000)  6 O 1.99-2.00
Cu (0.2498, 0.7502, 0.0000)  6 O 1.99-2.00
O (0.7415, 0.2585, 0.5000)  2 Cu 1.99
O (0.2585, 0.2585, 0.5000)  2 Cu 1.99
O (0.7415, 0.7415, 0.5000)  2 Cu 1.99
O (0.2585, 0.7415, 0.5000)  2 Cu 1.99
O (0.7373, 0.5000, 0.0000)  2 Cu 2.00
O (0.2627, 0.5000, 0.0000)  2 Cu 2.00
O (0.7478, 0.0000, 0.0000)  2 Cu 1.99
O (0.2522, 0.0000, 0.0000)  2 Cu 1.99
O (0.0000, 0.2522, 0.0000)  2 Cu 1.99
O (0.5000, 0.2627, 0.0000)  2 Cu 2.00
O (0.0000, 0.7478, 0.0000)  2 Cu 1.99
O (0.5000, 0.7373, 0.0000)  2 Cu 2.00